(1)
Rb2NdV3F12 | GGA+U | relaxed

Geometry as POSCAR:
```
Rb2NdV3F12
1.0
3.878 2.239 6.000
-3.878 2.239 6.000
0.000 -4.478 6.000
Rb Nd V F
2 1 3 12
direct
0.116 0.116 0.116
0.884 0.884 0.884
0.500 0.500 0.500
0.000 0.500 0.500
0.500 0.000 0.500
0.500 0.500 0.000
0.129 0.608 0.608
0.209 0.209 0.597
0.209 0.597 0.209
0.392 0.392 0.871
0.392 0.871 0.392
0.403 0.791 0.791
0.597 0.209 0.209
0.608 0.129 0.608
0.608 0.608 0.129
0.791 0.403 0.791
0.791 0.791 0.403
0.871 0.392 0.392
```

Calculated total energy (eV/atom): -5.9123
Magnetization (μB/atom): 0.4444
Symmetry: No. 166

---

(2)
TlWN2F | GGA+U | relaxed

Geometry as POSCAR:
```
TlWN2F
1.0
4.309 0.000 0.000
0.000 4.309 0.000
0.000 0.000 4.271
Tl W N F
1 1 2 1
direct
0.000 0.000 0.000
0.500 0.500 0.500
0.000 0.500 0.000
0.500 0.000 0.000
0.000 0.000 0.500
```

Magnetization (μB/atom): 0.5010
Symmetry: No. 123
Energy above the most stable polymorph in this dataset (meV per atom): 1572

---

What is the magnetization in the second record? 0.5010 μB/atom